Entry 1:
Compound: AlPbSeBr2
Source: Alexandria
Functional: PBE
Structure: relaxed

Structure (POSCAR):
```
AlPbSeBr2
1.0
-4.340 -2.026 -1.835
2.202 -0.551 -4.599
1.619 -4.677 1.335
Al Pb Br Se
1 1 2 1
Direct
0.000 0.000 0.000
0.500 0.500 0.500
0.500 0.000 0.000
0.000 0.500 0.000
0.000 0.000 0.500
```

**Formation energy from raw total energies**: -0.446 eV/atom
**ΔE to the lowest computed polymorph**: 0.0000 eV per atom
**Total DFT energy (no corrections)**: -3.30 eV/atom
**Magnetic moment**: 0.00 μB per formula unit

Entry 2:
Compound: AlPbSe2Br
Source: Alexandria
Functional: PBE
Structure: relaxed

Structure (POSCAR):
```
AlPbSe2Br
1.0
-2.361 3.117 -3.205
-3.091 -3.757 -1.377
-3.180 1.296 3.603
Pb Se Br Al
1 2 1 1
Direct
0.500 0.500 0.500
0.000 0.500 0.000
0.500 0.000 0.000
0.000 0.000 0.500
0.000 0.000 0.000
```

**Formation energy from raw total energies**: -0.436 eV/atom
**ΔE to the lowest computed polymorph**: 0.0000 eV per atom
**Total DFT energy (no corrections)**: -3.65 eV/atom
**Magnetic moment**: 0.00 μB per formula unit